1.
## InAg5S4 (GGA-PBE)

Data for a relaxed InAg5S4 crystal.

Values from the calculation:
**D(E_F)**: 0.08 states/eV per atom
**Formation energy (no corrections)**: -95 kJ/mol of formula units

Cell lengths 3.920, 7.466, 8.240 Å; angles 116.91, 103.76, 90.00 degrees
Element x y z (fractional)
In  0.500  0.000  0.000
Ag  0.178  0.458  0.356
Ag  0.178  0.897  0.356
Ag  0.822  0.103  0.644
Ag  0.500  0.500  0.000
Ag  0.822  0.542  0.644
S  0.687  0.187  0.373
S  0.000  0.253  0.000
S  0.313  0.813  0.627
S  0.000  0.747  0.000

2.
## Be2OsIBr (GGA-PBE)

Data for a relaxed Be2OsIBr crystal.

Values from the calculation:
**D(E_F)**: 0.58 states/eV per atom
**Formation energy (no corrections)**: 432 kJ/mol of formula units

Cell lengths 4.668, 4.951, 4.668 Å; angles 90.00, 90.00, 90.00 degrees
Element x y z (fractional)
I  0.000  0.500  0.000
Be  0.000  0.000  0.500
Be  0.500  0.000  0.000
Os  0.000  0.000  0.000
Br  0.500  0.500  0.500

3.
## MgZnAs2Se (GGA-PBE)

Data for a relaxed MgZnAs2Se crystal.

Values from the calculation:
**ΔE to the lowest computed polymorph**: 0 meV/atom
**D(E_F)**: 1.04 states/eV per atom
**Formation energy (no corrections)**: 198 kJ/mol of formula units

Cell lengths 4.779, 4.779, 5.181 Å; angles 90.00, 90.00, 90.00 degrees
Element x y z (fractional)
Mg  0.500  0.500  0.500
As  0.000  0.500  0.000
As  0.500  0.000  0.000
Zn  0.000  0.000  0.000
Se  0.000  0.000  0.500